## Mn2ZnAg (GGA-PBE)

Data for crystalline Mn2ZnAg at its relaxed geometry.

The structure in extended XYZ format:
```
4
Lattice="-2.255 -3.793 -1.742 0.267 -3.668 -2.997 1.689 -3.430 3.051" Properties=species:S:1:pos:R:3 pbc="T T T"
Zn -0.075 -2.723 -0.422
Ag -0.224 -8.168 -1.266
Mn -1.955 -7.476 -4.673
Mn -0.183 -5.430 -0.910
```

Summary:
N(E_F) (states/eV/cell): 3.88
Formation enthalpy at 0 K (eV per atom): 0.29
Electronic total energy (eV/atom): -5.327
Total magnetization (μB/f.u.): 7.09

## NdHg2Sb (GGA-PBE)

Data for crystalline NdHg2Sb at its relaxed geometry.

The structure in extended XYZ format:
```
4
Lattice="-2.514 -2.359 -0.064 0.425 -2.924 -1.777 3.836 -6.845 8.837" Properties=species:S:1:pos:R:3 pbc="T T T"
Hg 2.623 -5.484 6.307
Hg -0.876 -6.644 0.690
Nd 0.000 0.000 0.000
Sb 0.873 -6.064 3.498
```

Summary:
N(E_F) (states/eV/cell): 2.74
Electronic total energy (eV/atom): -2.238
Total magnetization (μB/f.u.): 0.00
ΔE_f (raw) (eV/atom): 0.135

## Sr2TlCl2O2 (GGA-PBE)

Data for crystalline Sr2TlCl2O2 at its relaxed geometry.

The structure in extended XYZ format:
```
7
Lattice="3.923 0.000 0.000 1.961 6.617 0.178 1.961 1.758 6.624" Properties=species:S:1:pos:R:3 pbc="T T T"
O 3.923 2.208 0.561
O 3.923 6.168 6.241
Sr 1.961 3.064 1.691
Sr 5.884 5.312 5.111
Tl 0.000 0.000 0.000
Cl 3.923 5.675 2.609
Cl 3.923 2.700 4.193
```

Summary:
N(E_F) (states/eV/cell): 1.36
Electronic total energy (eV/atom): -4.716
Total magnetization (μB/f.u.): 0.96
ΔE_f (raw) (eV/atom): -1.953

## Tm3BiS6 (GGA-PBE)

Data for crystalline Tm3BiS6 at its relaxed geometry.

The structure in extended XYZ format:
```
20
Lattice="-3.230 -0.354 2.280 -3.520 -8.405 -6.292 6.348 -4.055 8.363" Properties=species:S:1:pos:R:3 pbc="T T T"
Bi 1.829 -3.320 7.260
Bi -2.232 -9.493 -2.908
S -3.240 -7.529 -0.576
S 0.105 -2.775 1.446
S 4.691 -4.467 7.680
S 3.022 -8.973 4.616
S -0.186 -6.015 0.531
S 2.837 -5.285 4.927
S -0.217 -6.798 3.820
S -5.094 -8.346 -3.329
S 0.138 -3.146 4.890
S -0.508 -10.039 2.905
S -3.425 -3.840 -0.264
S -0.541 -9.667 -0.539
Tm 2.057 -10.859 2.957
Tm -1.746 -5.511 -1.601
Tm 1.227 -4.890 2.708
Tm 1.343 -7.302 5.952
Tm -2.460 -1.954 1.395
Tm -1.630 -7.924 1.644
```

Summary:
N(E_F) (states/eV/cell): 0.00
Electronic total energy (eV/atom): -5.832
Total magnetization (μB/f.u.): 0.00
ΔE_f (raw) (eV/atom): -1.626
Polymorph energy (0 for the lowest one) (meV per atom): 0

## ZnGa2Hg2 (GGA-PBE)

Data for crystalline ZnGa2Hg2 at its relaxed geometry.

The structure in extended XYZ format:
```
5
Lattice="3.745 0.000 0.000 0.000 3.745 0.000 1.872 1.872 8.127" Properties=species:S:1:pos:R:3 pbc="T T T"
Ga 3.745 1.872 4.063
Ga 1.872 3.745 4.063
Hg 3.745 3.745 6.587
Hg 1.872 1.872 1.540
Zn 0.000 0.000 0.000
```

Summary:
N(E_F) (states/eV/cell): 2.50
Formation enthalpy at 0 K (eV per atom): 0.16
Electronic total energy (eV/atom): -1.429
Total magnetization (μB/f.u.): 0.00
Polymorph energy (0 for the lowest one) (meV per atom): 60

## Zr2TcOs (GGA-PBE)

Data for crystalline Zr2TcOs at its relaxed geometry.

The structure in extended XYZ format:
```
4
Lattice="3.125 0.000 0.000 0.000 4.366 0.000 0.000 0.000 5.447" Properties=species:S:1:pos:R:3 pbc="T T T"
Os 0.000 0.000 2.512
Zr 0.000 0.000 5.207
Zr 1.563 2.183 1.604
Tc 1.563 2.183 4.294
```

Summary:
N(E_F) (states/eV/cell): 3.15
Formation enthalpy at 0 K (eV per atom): 0.00
Electronic total energy (eV/atom): -9.675
Total magnetization (μB/f.u.): 0.00